A plane-wave DFT calculation with PBE-GGA was carried out for an optimized crystal structure of LiTlAg2F6.

Lattice parameters (Å, degrees): 5.776 5.922 8.302 90.00 88.98 90.00
Element x y z (fractional)
F  0.209  0.201  0.060
F  0.695  0.289  0.949
F  0.607  0.033  0.242
F  0.107  0.467  0.742
F  0.709  0.299  0.560
F  0.393  0.967  0.758
F  0.195  0.211  0.449
F  0.805  0.789  0.551
F  0.791  0.799  0.940
F  0.291  0.701  0.440
F  0.893  0.533  0.258
F  0.305  0.711  0.051
Li  0.000  0.500  0.500
Li  0.500  0.000  0.000
Tl  0.000  0.500  0.000
Tl  0.500  0.000  0.500
Ag  0.017  0.943  0.251
Ag  0.517  0.557  0.751
Ag  0.983  0.057  0.749
Ag  0.483  0.443  0.249

* electronic total energy: -3.833 eV/atom
* space group: No. 14
* crystal system: monoclinic
* formation energy from raw total energies: -1.71 eV per atom
* spin magnetization: 0.15 μB/f.u.